Entry 1:
A plane-wave DFT calculation with PBE-GGA was carried out for a geometry-optimized Zr2Zn3Ir4 structure.

Output
- ΔH_f (0 K) (meV per atom) = -524
- volume (Å³/cell) = 142.9

```
Zr2Zn3Ir4
1.0
4.298 -2.072 0.000
4.298 2.072 0.000
-2.210 0.000 8.022
Zr Zn Ir
2 3 4
Cartesian
1.013 0.000 1.772
5.373 0.000 6.250
0.077 0.000 4.483
4.298 0.000 0.000
6.309 0.000 3.539
-0.580 0.000 7.127
2.703 0.000 5.239
3.683 0.000 2.782
6.966 0.000 0.895
```

Entry 2:
A plane-wave DFT calculation with PBE-GGA was carried out for a geometry-optimized ZrZn2Ir2 structure.

Output
- ΔH_f (0 K) (meV per atom) = -339
- volume (Å³/cell) = 160.4

```
ZrZn2Ir2
1.0
7.275 0.000 0.000
0.000 7.275 0.000
0.000 0.000 3.031
Zr Zn Ir
2 4 4
Cartesian
0.000 0.000 0.000
3.637 3.637 0.000
1.122 2.516 1.515
2.516 6.153 1.515
4.759 1.122 1.515
6.153 4.759 1.515
1.040 4.677 0.000
2.598 1.040 0.000
4.677 6.235 0.000
6.235 2.598 0.000
```

Entry 3:
A plane-wave DFT calculation with PBE-GGA was carried out for a geometry-optimized Zr4ZnIr structure.

Output
- ΔH_f (0 K) (meV per atom) = 353
- volume (Å³/cell) = 122.3

```
Zr4ZnIr
1.0
0.000 3.940 3.940
3.940 0.000 3.940
3.940 3.940 0.000
Zr Zn Ir
4 1 1
Cartesian
0.977 0.977 0.977
2.963 2.963 0.977
2.963 0.977 2.963
0.977 2.963 2.963
3.940 3.940 3.940
5.910 5.910 5.910
```

Entry 4:
A plane-wave DFT calculation with PBE-GGA was carried out for a geometry-optimized ZrZn2Ir2 structure.

Output
- ΔH_f (0 K) (meV per atom) = -401
- volume (Å³/cell) = 156.7

```
ZrZn2Ir2
1.0
7.306 0.000 0.000
0.000 7.306 0.000
0.000 0.000 2.935
Zr Zn Ir
2 4 4
Cartesian
0.000 0.000 0.000
3.653 3.653 0.000
0.866 2.786 0.000
2.786 6.439 0.000
4.519 0.866 0.000
6.439 4.519 0.000
1.311 4.964 1.468
2.342 1.311 1.468
4.964 5.995 1.468
5.995 2.342 1.468
```

Entry 5:
A plane-wave DFT calculation with PBE-GGA was carried out for a geometry-optimized ZrZnIr2 structure.

Output
- ΔH_f (0 K) (meV per atom) = -198
- volume (Å³/cell) = 65.4

```
ZrZnIr2
1.0
0.000 3.198 3.198
3.198 0.000 3.198
3.198 3.198 0.000
Zr Zn Ir
1 1 2
Cartesian
0.000 0.000 0.000
1.599 1.599 1.599
3.198 3.198 3.198
4.797 4.797 4.797
```

Entry 6:
A plane-wave DFT calculation with PBE-GGA was carried out for a geometry-optimized Zr4ZnIr structure.

Output
- ΔH_f (0 K) (meV per atom) = -399
- volume (Å³/cell) = 120.6

```
Zr4ZnIr
1.0
-3.358 3.358 2.674
3.358 -3.358 2.674
3.358 3.358 -2.674
Zr Zn Ir
4 1 1
Cartesian
2.284 -1.074 1.337
4.433 1.074 1.337
1.074 2.284 1.337
-1.074 4.433 1.337
0.000 0.000 2.674
0.000 0.000 0.000
```

Entry 7:
A plane-wave DFT calculation with PBE-GGA was carried out for a geometry-optimized Zr6Zn3Ir structure.

Output
- ΔH_f (0 K) (meV per atom) = -214
- volume (Å³/cell) = 409.8

```
Zr6Zn3Ir
1.0
8.230 0.000 0.000
0.000 10.577 0.000
0.000 0.000 4.708
Zr Zn Ir
12 6 2
Cartesian
0.008 2.590 0.000
1.371 0.905 2.354
1.390 4.320 2.354
2.725 9.608 0.000
2.744 6.193 0.000
4.107 7.879 2.354
4.123 2.698 2.354
5.486 4.384 0.000
5.505 0.969 0.000
6.840 6.258 2.354
6.859 9.672 2.354
8.222 7.987 0.000
0.000 5.289 0.000
1.358 7.627 2.354
2.757 2.338 0.000
4.115 0.000 2.354
5.473 8.239 0.000
6.872 2.951 2.354
0.000 0.000 0.000
4.115 5.289 2.354
```

Entry 8:
A plane-wave DFT calculation with PBE-GGA was carried out for a geometry-optimized ZrZnIr2 structure.

Output
- ΔH_f (0 K) (meV per atom) = -314
- volume (Å³/cell) = 66.8

```
ZrZnIr2
1.0
3.459 0.000 0.000
0.000 3.459 0.000
0.000 0.000 5.581
Zr Zn Ir
1 1 2
Cartesian
0.000 0.000 0.000
1.729 1.729 3.928
0.000 0.000 2.953
1.729 1.729 1.194
```

Entry 9:
A plane-wave DFT calculation with PBE-GGA was carried out for a geometry-optimized ZrZnIr2 structure.

Output
- ΔH_f (0 K) (meV per atom) = -174
- volume (Å³/cell) = 64.7

```
ZrZnIr2
1.0
2.856 0.000 0.000
0.000 2.856 0.000
0.000 0.000 7.927
Zr Zn Ir
1 1 2
Cartesian
0.000 0.000 0.000
1.428 1.428 5.725
0.000 0.000 3.958
1.428 1.428 2.131
```

Entry 10:
A plane-wave DFT calculation with PBE-GGA was carried out for a geometry-optimized Zr4Zn2Ir structure.

Output
- ΔH_f (0 K) (meV per atom) = -242
- volume (Å³/cell) = 139.6

```
Zr4Zn2Ir
1.0
2.322 1.341 7.474
-2.322 1.341 7.474
0.000 -2.681 7.474
Zr Zn Ir
4 2 1
Cartesian
0.000 0.000 2.680
0.000 0.000 8.334
0.000 0.000 14.088
0.000 0.000 19.743
0.000 0.000 5.589
0.000 0.000 16.834
0.000 0.000 11.211
```

Entry 11:
A plane-wave DFT calculation with PBE-GGA was carried out for a geometry-optimized Zr2ZnIr2 structure.

Output
- ΔH_f (0 K) (meV per atom) = -520
- volume (Å³/cell) = 195.5

```
Zr2ZnIr2
1.0
-3.562 5.175 2.652
3.562 -5.175 2.652
3.562 5.175 -2.652
Zr Zn Ir
4 2 4
Cartesian
1.120 1.768 0.000
4.682 3.407 0.000
-1.120 1.768 2.652
2.442 3.407 2.652
3.562 0.000 1.326
0.000 5.175 1.326
5.636 0.981 0.000
2.075 4.194 0.000
1.487 0.981 2.652
-2.075 4.194 2.652
```

Entry 12:
A plane-wave DFT calculation with PBE-GGA was carried out for a geometry-optimized ZrZn2Ir2 structure.

Output
- ΔH_f (0 K) (meV per atom) = -370
- volume (Å³/cell) = 83.2

```
ZrZn2Ir2
1.0
-1.741 1.741 6.860
1.741 -1.741 6.860
1.741 1.741 -6.860
Zr Zn Ir
1 2 2
Cartesian
0.000 0.000 0.000
1.741 0.000 3.430
0.000 1.741 3.430
0.000 0.000 5.455
0.000 0.000 8.265
```